{
  "formula": "TmScInGa",
  "functional": "PBE",
  "state": "optimized geometry",
  "lattice_angstrom": [[3.3527, 0.0000, 0.0000], [0.0000, 3.3527, 0.0000], [0.0000, 0.0000, 7.9006]],
  "species": ["Tm", "Sc", "In", "Ga"],
  "frac_coords": [[0.0000, 0.0000, 0.0000], [0.0000, 0.0000, 0.4623], [0.5000, 0.5000, 0.7192], [0.5000, 0.5000, 0.2416]],
  "total_magnetization_mub_per_cell": 0.00,
  "polymorph_energy_ev_per_atom": 0.000,
  "sg": "P4mm",
  "delta_e_f_ev_per_atom": -0.49
}